Version one
The following is a PBE calculation of Hg3Pb2Au2 after structural relaxation, from Alexandria.

```
7
Lattice="-0.8035 3.4398 -2.4857 -0.1241 -5.1166 -3.2876 -7.0632 -0.4208 1.7009" Properties=species:S:1:pos:R:3 pbc="T T T"
Hg -6.8006 0.1103 -1.4017
Hg 0.0000 0.0000 0.0000
Hg -1.1902 -2.2079 -2.6706
Pb -3.0069 0.6740 -1.8480
Pb -4.9839 -2.7717 -2.2244
Au -3.4726 -1.1386 -4.2058
Au -4.5182 -0.9590 0.1334
```

Calculated values
Its volume is 25.49 Å³ per atom. The space-group type is C2/m (12). As for the crystal system: monoclinic. The value obtained for the spin magnetization is 0.00 μB/f.u.


Version two
The following is a PBE calculation of Hg3Pb2Au2 after structural relaxation, from Alexandria.

```
7
Lattice="3.9577 0.0000 0.0000 0.0000 4.5112 -0.8878 0.0000 -0.2823 10.4710" Properties=species:S:1:pos:R:3 pbc="T T T"
Hg 1.9789 1.6954 8.6152
Hg 0.0000 0.0000 0.0000
Hg 1.9789 2.5335 0.9680
Au 1.9789 1.1540 5.8641
Au 1.9789 3.0749 3.7191
Pb 0.0000 0.6770 3.4399
Pb 0.0000 3.5519 6.1433
```

Calculated values
Its volume is 26.57 Å³ per atom. The space-group type is Cmmm (65). As for the crystal system: orthorhombic. The value obtained for the spin magnetization is 0.00 μB/f.u.


Relative energies in meV/atom: version one 18; version two 0